# K3Hf (PBE-GGA, relaxed)
data_K3Hf
_chemical_formula_sum 'K12 Hf4'
_symmetry_space_group_name_H-M 'F m -3 m'
_symmetry_Int_Tables_number 225
_symmetry_space_group_name_Hall '-F 4 2 3'
_cell_length_a 9.230
_cell_length_b 9.230
_cell_length_c 9.230
_cell_angle_alpha 90.00
_cell_angle_beta 90.00
_cell_angle_gamma 90.00
loop_
_atom_site_label
_atom_site_type_symbol
_atom_site_fract_x
_atom_site_fract_y
_atom_site_fract_z
K1 K 0.000 0.000 0.000
K2 K 0.250 0.250 0.250
Hf1 Hf 0.000 0.000 0.500
# ΔE_f in eV per atom: 1.12
# Magnetization in Bohr magnetons per cell: 12.5
# Offset from the most stable computed form in eV/atom: 0.0000
# D(E_F) in states/eV per cell: 23.09